Record 1
{
  "formula": "SrCuRe3",
  "functional": "PBE",
  "state": "optimized geometry",
  "lattice": [[4.645, 0.000, 0.000], [0.000, 4.645, 0.000], [0.000, 0.000, 4.645]],
  "species": ["Sr", "Cu", "Re", "Re", "Re"],
  "fractional_positions": [[0.000, 0.000, 0.000], [0.500, 0.500, 0.500], [0.000, 0.500, 0.500], [0.500, 0.000, 0.500], [0.500, 0.500, 0.000]],
  "spacegroup": "Pm-3m, No. 221",
  "formation_energy_ev_per_atom": 1.8816,
  "m_tot_mub_per_fu": 0.00,
  "total_energy_ev_per_atom": -6.74
}


Record 2
{
  "formula": "PrCu8Ni4",
  "functional": "PBE",
  "state": "optimized geometry",
  "lattice": [[-4.204, 4.204, 2.429], [4.204, -4.204, 2.429], [4.204, 4.204, -2.429]],
  "species": ["Pr", "Cu", "Cu", "Cu", "Cu", "Cu", "Cu", "Cu", "Cu", "Ni", "Ni", "Ni", "Ni"],
  "fractional_positions": [[0.000, 0.000, 0.000], [0.000, 0.353, 0.353], [0.000, 0.647, 0.647], [0.272, 0.500, 0.772], [0.353, 0.000, 0.353], [0.500, 0.272, 0.772], [0.500, 0.728, 0.228], [0.647, 0.000, 0.647], [0.728, 0.500, 0.228], [0.000, 0.000, 0.500], [0.000, 0.500, 0.000], [0.500, 0.000, 0.000], [0.500, 0.500, 0.500]],
  "spacegroup": "I4/mmm, No. 139",
  "formation_energy_ev_per_atom": -0.0922,
  "m_tot_mub_per_fu": 0.00,
  "total_energy_ev_per_atom": -4.76
}


Record 3
{
  "formula": "BaTl6Cd2",
  "functional": "PBE",
  "state": "optimized geometry",
  "lattice": [[0.000, 6.981, 6.981], [6.981, 0.000, 6.981], [6.981, 6.981, 0.000]],
  "species": ["Ba", "Ba", "Tl", "Tl", "Tl", "Tl", "Tl", "Tl", "Tl", "Tl", "Tl", "Tl", "Tl", "Tl", "Cd", "Cd", "Cd", "Cd"],
  "fractional_positions": [[0.125, 0.125, 0.125], [0.875, 0.875, 0.875], [0.125, 0.125, 0.625], [0.125, 0.625, 0.125], [0.125, 0.625, 0.625], [0.375, 0.375, 0.875], [0.375, 0.875, 0.375], [0.375, 0.875, 0.875], [0.625, 0.125, 0.125], [0.625, 0.125, 0.625], [0.625, 0.625, 0.125], [0.875, 0.375, 0.375], [0.875, 0.375, 0.875], [0.875, 0.875, 0.375], [0.000, 0.500, 0.500], [0.500, 0.000, 0.500], [0.500, 0.500, 0.000], [0.500, 0.500, 0.500]],
  "spacegroup": "Fd-3m, No. 227",
  "formation_energy_ev_per_atom": 0.1071,
  "m_tot_mub_per_fu": 0.00,
  "total_energy_ev_per_atom": -1.89
}


Record 4
{
  "formula": "LiIrIN2",
  "functional": "PBE",
  "state": "optimized geometry",
  "lattice": [[3.818, 0.000, 0.000], [0.000, 3.818, 0.000], [0.000, 0.000, 5.268]],
  "species": ["Li", "Ir", "I", "N", "N"],
  "fractional_positions": [[0.000, 0.000, 0.000], [0.500, 0.500, 0.500], [0.000, 0.000, 0.500], [0.000, 0.500, 0.000], [0.500, 0.000, 0.000]],
  "spacegroup": "P4/mmm, No. 123",
  "m_tot_mub_per_fu": 2.18,
  "total_energy_ev_per_atom": -3.70
}


Record 5
{
  "formula": "La4Ge2Br5",
  "functional": "PBE",
  "state": "optimized geometry",
  "lattice": [[4.709, 0.000, 0.000], [-2.341, 9.311, 0.000], [-0.039, -2.890, 9.900]],
  "species": ["La", "La", "La", "La", "Ge", "Ge", "Br", "Br", "Br", "Br", "Br"],
  "fractional_positions": [[0.007, 0.020, 0.291], [0.356, 0.707, 0.929], [0.644, 0.293, 0.071], [0.993, 0.980, 0.709], [0.496, 0.000, 0.125], [0.504, 0.000, 0.875], [0.171, 0.345, 0.879], [0.175, 0.353, 0.278], [0.500, 0.000, 0.500], [0.825, 0.647, 0.722], [0.829, 0.655, 0.121]],
  "spacegroup": "P-1, No. 2",
  "m_tot_mub_per_fu": 0.00,
  "total_energy_ev_per_atom": -4.74
}


Record 6
{
  "formula": "SmTiMnGe2",
  "functional": "PBE",
  "state": "optimized geometry",
  "lattice": [[-2.017, 2.017, 5.697], [2.017, -2.017, 5.697], [2.017, 2.017, -5.697]],
  "species": ["Sm", "Ti", "Mn", "Ge", "Ge"],
  "fractional_positions": [[0.000, 0.000, 0.000], [0.250, 0.750, 0.500], [0.750, 0.250, 0.500], [0.387, 0.387, 0.000], [0.613, 0.613, 0.000]],
  "spacegroup": "I-4m2, No. 119",
  "formation_energy_ev_per_atom": -0.5958,
  "m_tot_mub_per_fu": 1.52,
  "total_energy_ev_per_atom": -6.80
}


Record 7
{
  "formula": "La2InCo",
  "functional": "PBE",
  "state": "optimized geometry",
  "lattice": [[-1.764, 2.564, 5.669], [1.764, -2.564, 5.669], [1.764, 2.564, -5.669]],
  "species": ["La", "La", "In", "Co"],
  "fractional_positions": [[0.000, 0.000, 0.000], [0.687, 0.187, 0.500], [0.300, 0.800, 0.500], [0.480, 0.480, 0.000]],
  "spacegroup": "Imm2, No. 44",
  "formation_energy_ev_per_atom": -0.1624,
  "m_tot_mub_per_fu": 0.77,
  "total_energy_ev_per_atom": -5.09
}


Record 8
{
  "formula": "Dy2BeGePt6",
  "functional": "PBE",
  "state": "optimized geometry",
  "lattice": [[4.922, -2.843, 0.000], [4.922, 2.843, 0.000], [-3.273, 0.000, 6.541]],
  "species": ["Dy", "Dy", "Be", "Ge", "Pt", "Pt", "Pt", "Pt", "Pt", "Pt"],
  "fractional_positions": [[0.211, 0.211, 0.132], [0.789, 0.789, 0.868], [0.000, 0.000, 0.500], [0.500, 0.500, 0.000], [0.240, 0.240, 0.711], [0.240, 0.730, 0.711], [0.270, 0.760, 0.289], [0.730, 0.240, 0.711], [0.760, 0.270, 0.289], [0.760, 0.760, 0.289]],
  "spacegroup": "C2/m, No. 12",
  "formation_energy_ev_per_atom": -0.8387,
  "m_tot_mub_per_fu": 0.00,
  "total_energy_ev_per_atom": -6.22
}